1.
First-principles (GGA-PBE) data for a relaxed NaIn3Bi2 crystal, as listed in Alexandria. Values from VASP.

Geometry as Quantum ESPRESSO input:
```
&SYSTEM
  ibrav = 0, nat = 6, ntyp = 3
/
ATOMIC_SPECIES
Bi 208.98 Bi.upf
In 114.82 In.upf
Na 22.99 Na.upf
ATOMIC_POSITIONS angstrom
Bi -3.587 -0.145 2.903
Bi -1.056 2.169 3.938
In 1.761 1.233 2.237
In -0.277 -1.003 2.923
In -2.038 -2.236 0.685
Na -2.044 2.016 0.498
CELL_PARAMETERS angstrom
-4.077 -4.473 1.371
3.522 2.466 4.474
-4.088 4.032 0.996
```

E above lowest polymorph   90 meV per atom
Calculated formation energy   0.02 eV/atom

2.
First-principles (GGA-PBE) data for a relaxed Tb2Nd5Ho4 crystal, as listed in Alexandria. Values from VASP.

Geometry as Quantum ESPRESSO input:
```
&SYSTEM
  ibrav = 0, nat = 11, ntyp = 3
/
ATOMIC_SPECIES
Nd 144.24 Nd.upf
Tb 158.93 Tb.upf
Ho 164.93 Ho.upf
ATOMIC_POSITIONS angstrom
Nd -4.702 -2.297 6.165
Nd -1.265 -0.468 -1.139
Nd -2.717 1.259 2.499
Nd -5.244 7.256 0.104
Nd -7.229 3.700 3.770
Tb -3.783 4.525 2.341
Tb -6.163 0.434 3.928
Ho -4.280 -1.818 2.763
Ho -1.039 -1.862 1.919
Ho -5.667 6.778 3.506
Ho -2.278 -4.081 4.208
CELL_PARAMETERS angstrom
-2.530 -0.937 -2.278
-3.317 -5.943 6.127
-4.099 11.839 2.420
```

E above lowest polymorph   121 meV per atom
Calculated formation energy   0.19 eV/atom

3.
First-principles (GGA-PBE) data for a relaxed MgTlPb2 crystal, as listed in Alexandria. Values from VASP.

Geometry as Quantum ESPRESSO input:
```
&SYSTEM
  ibrav = 0, nat = 4, ntyp = 3
/
ATOMIC_SPECIES
Tl 204.38 Tl.upf
Mg 24.30 Mg.upf
Pb 207.20 Pb.upf
ATOMIC_POSITIONS angstrom
Tl -3.083 -0.467 3.631
Mg -6.295 0.118 3.873
Pb -5.948 -0.815 7.047
Pb -3.334 0.489 0.347
CELL_PARAMETERS angstrom
-3.629 1.406 -2.900
-1.997 -2.641 1.218
-4.016 1.808 5.902
```

Calculated formation energy   0.01 eV/atom

Record order is preserved below.
N(E_F): 0.363; 1.574; 0.526 states/eV/atom